Computed, not measured: crystalline PrEuZn4 at its relaxed geometry at the PBE-GGA level of DFT.

Results
Calculated formation energy = -0.27 eV per atom
DOS at the Fermi energy = 5.63 states/eV/cell

Cell: 5.629 5.629 5.629 Å, 60.00 60.00 60.00°
Fractional positions:
Eu: 0.000 0.000 0.000
Pr: 0.250 0.250 0.250
Zn: 0.624 0.624 0.128
Zn: 0.624 0.128 0.624
Zn: 0.624 0.624 0.624
Zn: 0.128 0.624 0.624

***

Computed, not measured: crystalline Pr2EuZn at its relaxed geometry at the PBE-GGA level of DFT.

Results
Polymorph energy (0 for the lowest one) = 0.00 kJ/mol of atoms
Calculated formation energy = -0.12 eV per atom
DOS at the Fermi energy = 4.31 states/eV/cell

Cell: 3.768 3.768 9.038 Å, 90.00 90.00 90.00°
Fractional positions:
Eu: 0.500 0.500 0.500
Pr: 0.000 0.000 0.804
Pr: 0.000 0.000 0.196
Zn: 0.500 0.500 0.000

***

Computed, not measured: crystalline PrEuZn2 at its relaxed geometry at the PBE-GGA level of DFT.

Results
Calculated formation energy = -0.27 eV per atom
DOS at the Fermi energy = 3.86 states/eV/cell

Cell: 5.272 5.272 5.272 Å, 60.00 60.00 60.00°
Fractional positions:
Eu: 0.750 0.750 0.750
Pr: 0.250 0.250 0.250
Zn: 0.000 0.000 0.000
Zn: 0.500 0.500 0.500

***

Computed, not measured: crystalline PrEu2Zn at its relaxed geometry at the PBE-GGA level of DFT.

Results
Polymorph energy (0 for the lowest one) = 0.00 kJ/mol of atoms
Calculated formation energy = -0.09 eV per atom
DOS at the Fermi energy = 8.37 states/eV/cell

Cell: 3.729 3.729 9.345 Å, 90.00 90.00 90.00°
Fractional positions:
Eu: 0.000 0.000 0.801
Eu: 0.000 0.000 0.199
Pr: 0.500 0.500 0.500
Zn: 0.500 0.500 0.000

***

Computed, not measured: crystalline PrEuZn2 at its relaxed geometry at the PBE-GGA level of DFT.

Results
Calculated formation energy = -0.05 eV per atom
DOS at the Fermi energy = 7.77 states/eV/cell

Cell: 3.851 3.851 9.333 Å, 78.09 78.09 60.00°
Fractional positions:
Eu: 0.500 0.500 0.500
Pr: 0.000 0.000 0.000
Zn: 0.748 0.748 0.755
Zn: 0.252 0.252 0.245

***

Computed, not measured: crystalline PrEu2Zn at its relaxed geometry at the PBE-GGA level of DFT.

Results
Polymorph energy (0 for the lowest one) = 11.42 kJ/mol of atoms
Calculated formation energy = 0.03 eV per atom
DOS at the Fermi energy = 5.36 states/eV/cell

Cell: 5.135 4.938 4.938 Å, 90.00 90.00 90.00°
Fractional positions:
Eu: 0.000 0.000 0.500
Eu: 0.000 0.500 0.000
Pr: 0.500 0.500 0.500
Zn: 0.500 0.000 0.000

***

Computed, not measured: crystalline PrEuZn2 at its relaxed geometry at the PBE-GGA level of DFT.

Results
Calculated formation energy = -0.29 eV per atom
DOS at the Fermi energy = 3.42 states/eV/cell

Cell: 3.753 5.262 5.262 Å, 90.00 90.00 90.00°
Fractional positions:
Eu: 0.500 0.500 0.500
Pr: 0.500 0.000 0.000
Zn: 0.000 0.000 0.500
Zn: 0.000 0.500 0.000

***

Computed, not measured: crystalline Pr2EuZn at its relaxed geometry at the PBE-GGA level of DFT.

Results
Polymorph energy (0 for the lowest one) = 12.40 kJ/mol of atoms
Calculated formation energy = 0.01 eV per atom
DOS at the Fermi energy = 5.82 states/eV/cell

Cell: 4.733 5.058 5.058 Å, 90.00 90.00 90.00°
Fractional positions:
Eu: 0.500 0.500 0.500
Pr: 0.000 0.000 0.500
Pr: 0.000 0.500 0.000
Zn: 0.500 0.000 0.000

***

Computed, not measured: crystalline Pr2EuZn at its relaxed geometry at the PBE-GGA level of DFT.

Results
Polymorph energy (0 for the lowest one) = 15.32 kJ/mol of atoms
Calculated formation energy = 0.04 eV per atom
DOS at the Fermi energy = 4.09 states/eV/cell

Cell: 5.557 5.557 5.557 Å, 60.00 60.00 60.00°
Fractional positions:
Eu: 0.000 0.000 0.000
Pr: 0.250 0.250 0.250
Pr: 0.750 0.750 0.750
Zn: 0.500 0.500 0.500

***

Computed, not measured: crystalline PrEu2Zn at its relaxed geometry at the PBE-GGA level of DFT.

Results
Polymorph energy (0 for the lowest one) = 8.39 kJ/mol of atoms
Calculated formation energy = 0.00 eV per atom
DOS at the Fermi energy = 8.57 states/eV/cell

Cell: 3.772 3.772 11.276 Å, 80.37 80.37 60.00°
Fractional positions:
Eu: 0.737 0.737 0.788
Eu: 0.263 0.263 0.212
Pr: 0.500 0.500 0.500
Zn: 0.000 0.000 0.000

***

Computed, not measured: crystalline PrEuZr at its relaxed geometry at the PBE-GGA level of DFT.

Results
Calculated formation energy = 0.19 eV per atom
DOS at the Fermi energy = 3.20 states/eV/cell

Cell: 3.488 3.488 8.210 Å, 102.26 102.26 90.00°
Fractional positions:
Eu: 0.011 0.011 0.022
Pr: 0.317 0.317 0.634
Zr: 0.672 0.672 0.344

***

Computed, not measured: crystalline PrEu2Zr at its relaxed geometry at the PBE-GGA level of DFT.

Results
Calculated formation energy = 0.42 eV per atom
DOS at the Fermi energy = 6.22 states/eV/cell

Cell: 3.459 3.459 12.804 Å, 82.24 82.24 60.00°
Fractional positions:
Eu: 0.082 0.082 0.753
Eu: 0.918 0.918 0.247
Pr: 0.500 0.500 0.500
Zr: 0.000 0.000 0.000

***

Computed, not measured: crystalline Eu4Pt at its relaxed geometry at the PBE-GGA level of DFT.

Results
Calculated formation energy = -0.15 eV per atom
DOS at the Fermi energy = 64.43 states/eV/cell

Cell: 8.386 8.386 8.386 Å, 60.00 60.00 60.00°
Fractional positions:
Eu: 0.865 0.865 0.865
Eu: 0.865 0.404 0.865
Eu: 0.865 0.865 0.404
Eu: 0.385 0.846 0.385
Eu: 0.385 0.385 0.385
Eu: 0.404 0.865 0.865
Eu: 0.385 0.385 0.846
Eu: 0.846 0.385 0.385
Pt: 0.250 0.250 0.250
Pt: 0.000 0.000 0.000

***

Computed, not measured: crystalline EuPt5 at its relaxed geometry at the PBE-GGA level of DFT.

Results
Calculated formation energy = -0.35 eV per atom
DOS at the Fermi energy = 16.16 states/eV/cell

Cell: 4.031 4.126 6.588 Å, 108.25 90.00 90.00°
Fractional positions:
Eu: 0.000 0.000 0.000
Pt: 0.000 0.668 0.336
Pt: 0.000 0.332 0.664
Pt: 0.500 0.500 0.000
Pt: 0.500 0.176 0.351
Pt: 0.500 0.824 0.649

***

Computed, not measured: crystalline Eu3Pt2 at its relaxed geometry at the PBE-GGA level of DFT.

Results
Calculated formation energy = -0.88 eV per atom
DOS at the Fermi energy = 94.09 states/eV/cell

Cell: 7.803 7.803 7.803 Å, 70.51 70.51 70.51°
Fractional positions:
Eu: 0.000 0.000 0.000
Eu: 0.801 0.801 0.801
Eu: 0.199 0.199 0.199
Eu: 0.333 0.600 0.846
Eu: 0.846 0.333 0.600
Eu: 0.600 0.846 0.333
Eu: 0.667 0.400 0.154
Eu: 0.154 0.667 0.400
Eu: 0.400 0.154 0.667
Pt: 0.163 0.955 0.590
Pt: 0.590 0.163 0.955
Pt: 0.955 0.590 0.163
Pt: 0.837 0.045 0.410
Pt: 0.410 0.837 0.045
Pt: 0.045 0.410 0.837

***

Computed, not measured: crystalline EuPu2Pt at its relaxed geometry at the PBE-GGA level of DFT.

Results
Polymorph energy (0 for the lowest one) = 12.68 kJ/mol of atoms
Calculated formation energy = -0.13 eV per atom
DOS at the Fermi energy = 18.17 states/eV/cell

Cell: 5.099 5.099 5.215 Å, 60.73 60.73 60.00°
Fractional positions:
Eu: 0.500 0.500 0.500
Pt: 0.000 0.000 0.000
Pu: 0.252 0.252 0.243
Pu: 0.748 0.748 0.757

***

Computed, not measured: crystalline EuPu2Pt at its relaxed geometry at the PBE-GGA level of DFT.

Results
Polymorph energy (0 for the lowest one) = 0.00 kJ/mol of atoms
Calculated formation energy = -0.26 eV per atom
DOS at the Fermi energy = 17.65 states/eV/cell

Cell: 3.672 3.672 8.186 Å, 90.00 90.00 90.00°
Fractional positions:
Eu: 0.500 0.500 0.500
Pt: 0.500 0.500 0.000
Pu: 0.000 0.000 0.812
Pu: 0.000 0.000 0.188

***

Computed, not measured: crystalline EuPuSbPt at its relaxed geometry at the PBE-GGA level of DFT.

Results
Formation energy (no corrections) = -0.695 eV per atom
DOS at the Fermi energy = 20.25 states/eV/cell

Cell: 5.250 5.250 5.250 Å, 60.00 60.00 60.00°
Fractional positions:
Eu: 0.250 0.250 0.250
Sb: 0.000 0.000 0.000
Pt: 0.500 0.500 0.500
Pu: 0.750 0.750 0.750

***

Computed, not measured: crystalline EuPuSnPt at its relaxed geometry at the PBE-GGA level of DFT.

Results
Calculated formation energy = -0.51 eV per atom
DOS at the Fermi energy = 18.00 states/eV/cell

Cell: 5.237 5.237 5.237 Å, 60.00 60.00 60.00°
Fractional positions:
Eu: 0.250 0.250 0.250
Sn: 0.500 0.500 0.500
Pt: 0.000 0.000 0.000
Pu: 0.750 0.750 0.750

***

Computed, not measured: crystalline EuPuTlPt at its relaxed geometry at the PBE-GGA level of DFT.

Results
Calculated formation energy = -0.38 eV per atom
DOS at the Fermi energy = 16.83 states/eV/cell

Cell: 5.253 5.253 5.253 Å, 60.00 60.00 60.00°
Fractional positions:
Eu: 0.500 0.500 0.500
Tl: 0.250 0.250 0.250
Pt: 0.750 0.750 0.750
Pu: 0.000 0.000 0.000